[1]
# Ba3RhO5

Crystalline Ba3RhO5 at its relaxed geometry (PBE, the Alexandria database).

Cell: 7.2841 7.2841 8.1640 Å, 116.49 116.49 90.00°
Element x y z (fractional)
O (0.0101, 0.5101, 0.2874)
O (0.4899, 0.7227, 0.7126)
O (0.7773, 0.0101, 0.2874)
Ba (0.2500, 0.2500, 0.5000)
O (0.2773, 0.7773, 0.2874)
Ba (0.3218, 0.8218, 0.0000)
O (0.7227, 0.2227, 0.7126)
O (0.0000, 0.0000, 0.0000)
O (0.5000, 0.5000, 0.0000)
Ba (0.7500, 0.7500, 0.5000)
Ba (0.8218, 0.6782, 0.0000)
O (0.5101, 0.2773, 0.2874)
Rh (0.2500, 0.7500, 0.5000)
O (0.2227, 0.9899, 0.7126)
Rh (0.7500, 0.2500, 0.5000)
O (0.9899, 0.4899, 0.7126)
Ba (0.1782, 0.3218, 0.0000)
Ba (0.6782, 0.1782, 0.0000)

Results
Its space group is I4/mcm. As for the formation energy without anion corrections: -1.880 eV/atom. The calculation puts the offset from the most stable computed form at 0.074 eV per atom. For the calculated density, the calculation gives 5.88 Mg/m³.

[2]
# HoThTlTc

Crystalline HoThTlTc at its relaxed geometry (PBE, the Alexandria database).

Cell: 5.1922 5.1922 5.1922 Å, 60.00 60.00 60.00°
Element x y z (fractional)
Th (0.7500, 0.7500, 0.7500)
Tc (0.5000, 0.5000, 0.5000)
Tl (0.0000, 0.0000, 0.0000)
Ho (0.2500, 0.2500, 0.2500)

Results
For the formation energy, the calculation gives -0.01 eV/atom. Its space group is F-43m. For the calculated density, the calculation gives 11.73 Mg/m³.

[3]
# BaWN3

Crystalline BaWN3 at its relaxed geometry (PBE, the Alexandria database).

Cell: 3.7183 7.9647 7.7506 Å, 58.06 61.39 90.08°
Element x y z (fractional)
N (0.7474, 0.8521, 0.7833)
N (0.9824, 0.4630, 0.5495)
W (0.6737, 0.4110, 0.8582)
N (0.7473, 0.6915, 0.7846)
Ba (0.8373, 0.5815, 0.1944)
N (0.4485, 0.1723, 0.5824)
N (0.5122, 0.0805, 0.0184)
Ba (0.6573, 0.9620, 0.3735)
N (0.0461, 0.3713, 0.9855)
W (0.8209, 0.1326, 0.7098)

Results
Its space group is P2/m. As for the formation energy without anion corrections: -0.539 eV/atom. For the calculated density, the calculation gives 7.51 Mg/m³.

[4]
# CsRb3Tl

Crystalline CsRb3Tl at its relaxed geometry (PBE, the Alexandria database).

Cell: 8.0898 8.0898 8.0898 Å, 90.00 90.00 90.00°
Element x y z (fractional)
Cs (0.0000, 0.0000, 0.0000)
Rb (0.0000, 0.0000, 0.5000)
Tl (0.5000, 0.5000, 0.5000)
Rb (0.5000, 0.0000, 0.0000)
Rb (0.0000, 0.5000, 0.0000)

Results
For the formation energy, the calculation gives 0.47 eV/atom. Its space group is Pm-3m. The calculation puts the offset from the most stable computed form at 0.486 eV per atom. For the calculated density, the calculation gives 1.86 Mg/m³.

[5]
# Na2PdPt

Crystalline Na2PdPt at its relaxed geometry (PBE, the Alexandria database).

Cell: 7.8453 7.8453 6.1487 Å, 50.36 50.36 90.00°
Element x y z (fractional)
Na (0.1261, 0.6250, 0.2500)
Pd (0.2500, 0.7500, 0.5000)
Pt (0.7500, 0.2500, 0.5000)
Na (0.6239, 0.1250, 0.2500)
Na (0.8750, 0.8739, 0.7500)
Pt (0.0000, 0.0000, 0.0000)
Pd (0.5000, 0.5000, 0.0000)
Na (0.3750, 0.3761, 0.7500)

Results
For the formation energy, the calculation gives 0.21 eV/atom. Its space group is I-42d. The calculation puts the offset from the most stable computed form at 0.344 eV per atom. For the calculated density, the calculation gives 7.07 Mg/m³.

[6]
# LiCN3

Crystalline LiCN3 at its relaxed geometry (PBE, the Alexandria database).

Cell: 3.5069 3.5069 3.5069 Å, 90.00 90.00 90.00°
Element x y z (fractional)
N (0.5000, 0.0000, 0.0000)
N (0.0000, 0.0000, 0.5000)
N (0.0000, 0.5000, 0.0000)
C (0.5000, 0.5000, 0.5000)
Li (0.0000, 0.0000, 0.0000)

Results
Its space group is Pm-3m. As for the formation energy without anion corrections: 3.621 eV/atom. For the calculated density, the calculation gives 2.35 Mg/m³.

[7]
# NiSb2Pt

Crystalline NiSb2Pt at its relaxed geometry (PBE, the Alexandria database).

Cell: 4.0727 4.0727 6.6896 Å, 69.83 69.83 57.59°
Element x y z (fractional)
Sb (0.7632, 0.7632, 0.6418)
Pt (0.2398, 0.2398, 0.3016)
Ni (0.5007, 0.5007, 0.4734)
Sb (0.9963, 0.9963, 0.0833)

Results
Its space group is Cm. As for the formation energy without anion corrections: -0.187 eV/atom. The calculation puts the offset from the most stable computed form at 0.041 eV per atom. For the calculated density, the calculation gives 9.59 Mg/m³.

[8]
# AgAsIr

Crystalline AgAsIr at its relaxed geometry (PBE, the Alexandria database).

Cell: 7.7918 7.5328 2.8600 Å, 84.39 74.18 21.43°
Element x y z (fractional)
Ag (0.0111, 0.0111, 0.9889)
As (0.3126, 0.3126, 0.6874)
Ir (0.6763, 0.6763, 0.3237)

Results
For the formation energy, the calculation gives 0.27 eV/atom. Its space group is Fmm2. The calculation puts the offset from the most stable computed form at 0.259 eV per atom. For the calculated density, the calculation gives 11.78 Mg/m³.

[9]
# Hf2Zr3TaN6

Crystalline Hf2Zr3TaN6 at its relaxed geometry (PBE, the Alexandria database).

Cell: 5.5687 5.5687 5.6014 Å, 99.62 99.62 119.99°
Element x y z (fractional)
N (0.2542, 0.2542, 0.7630)
N (0.9215, 0.5884, 0.7643)
N (0.7458, 0.7458, 0.2370)
Hf (0.6663, 0.3337, 0.0000)
Hf (0.3337, 0.6663, 0.0000)
Zr (0.1656, 0.8344, 0.5000)
N (0.0785, 0.4116, 0.2357)
N (0.5884, 0.9215, 0.7643)
Zr (0.5000, 0.5000, 0.5000)
Ta (0.0000, 0.0000, 0.0000)
N (0.4116, 0.0785, 0.2357)
Zr (0.8344, 0.1656, 0.5000)

Results
Its space group is C2/m. As for the formation energy without anion corrections: -1.592 eV/atom. For the calculated density, the calculation gives 10.49 Mg/m³.

[10]
# KAl2Tc

Crystalline KAl2Tc at its relaxed geometry (PBE, the Alexandria database).

Cell: 4.7264 4.7264 4.7264 Å, 120.09 120.09 89.85°
Element x y z (fractional)
Tc (0.7500, 0.2500, 0.5000)
K (0.5000, 0.5000, 0.0000)
Al (0.0000, 0.0000, 0.0000)
Al (0.2500, 0.7500, 0.5000)

Results
For the formation energy, the calculation gives 0.91 eV/atom. Its space group is I-4m2. The calculation puts the offset from the most stable computed form at 0.823 eV per atom. For the calculated density, the calculation gives 4.26 Mg/m³.

[11]
# La2Tm3Tl4

Crystalline La2Tm3Tl4 at its relaxed geometry (PBE, the Alexandria database).

Cell: 7.1250 9.0236 9.2262 Å, 90.00 112.71 90.00°
Element x y z (fractional)
Tl (0.7101, 0.7500, 0.9203)
Tl (0.2101, 0.7500, 0.9203)
La (0.3911, 0.0793, 0.7822)
Tm (0.9679, 0.2500, 0.4359)
Tl (0.7899, 0.2500, 0.0797)
Tm (0.5000, 0.5000, 0.0000)
Tm (0.5321, 0.7500, 0.5641)
La (0.8911, 0.4207, 0.7822)
Tm (0.4679, 0.2500, 0.4359)
Tm (0.0321, 0.7500, 0.5641)
Tl (0.8178, 0.0430, 0.6357)
La (0.1089, 0.5793, 0.2178)
Tl (0.2899, 0.2500, 0.0797)
Tm (0.0000, 0.0000, 0.0000)
La (0.6089, 0.9207, 0.2178)
Tl (0.3178, 0.4570, 0.6357)
Tl (0.1822, 0.9570, 0.3643)
Tl (0.6822, 0.5430, 0.3643)

Results
For the formation energy, the calculation gives -0.27 eV/atom. Its space group is Cmce. For the calculated density, the calculation gives 9.72 Mg/m³.

[12]
# La8AsSe6

Crystalline La8AsSe6 at its relaxed geometry (PBE, the Alexandria database).

Cell: 4.4047 10.8262 10.8262 Å, 120.00 90.00 90.00°
Element x y z (fractional)
La (0.2583, 0.0329, 0.7187)
La (0.7417, 0.7187, 0.6858)
La (0.2524, 0.6667, 0.3333)
La (0.7417, 0.9671, 0.2813)
As (0.5000, 0.0000, 0.0000)
Se (0.2473, 0.1282, 0.4818)
Se (0.7527, 0.6464, 0.1282)
Se (0.7527, 0.8718, 0.5182)
Se (0.7527, 0.4818, 0.3536)
Se (0.2473, 0.5182, 0.6464)
La (0.7476, 0.3333, 0.6667)
Se (0.2473, 0.3536, 0.8718)
La (0.2583, 0.2813, 0.3142)
La (0.7417, 0.3142, 0.0329)
La (0.2583, 0.6858, 0.9671)

Results
Its space group is P-3. As for the formation energy without anion corrections: -1.507 eV/atom. For the calculated density, the calculation gives 6.17 Mg/m³.

[13]
# ReHgAs2

Crystalline ReHgAs2 at its relaxed geometry (PBE, the Alexandria database).

Cell: 3.0836 3.0468 9.0706 Å, 90.65 90.00 90.00°
Element x y z (fractional)
As (0.0000, 0.2556, 0.9167)
As (0.0000, 0.2444, 0.5833)
Hg (0.5000, 0.2500, 0.2500)
Re (0.5000, 0.7500, 0.7500)

Results
For the formation energy, the calculation gives 0.08 eV/atom. Its space group is P2/m. For the calculated density, the calculation gives 10.46 Mg/m³.

[14]
# TlGeO2

Crystalline TlGeO2 at its relaxed geometry (PBE, the Alexandria database).

Cell: 5.9297 5.9297 5.9128 Å, 59.91 59.91 90.00°
Element x y z (fractional)
Ge (0.5000, 0.5000, 0.0000)
O (0.2787, 0.6250, 0.2500)
Ge (0.2500, 0.7500, 0.5000)
O (0.8750, 0.7213, 0.7500)
O (0.4713, 0.1250, 0.2500)
Tl (0.7500, 0.2500, 0.5000)
O (0.3750, 0.5287, 0.7500)
Tl (0.0000, 0.0000, 0.0000)

Results
Its space group is I-42d. As for the formation energy without anion corrections: -0.997 eV/atom. The calculation puts the offset from the most stable computed form at 0.000 eV per atom. For the calculated density, the calculation gives 7.00 Mg/m³.

[15]
# TmPRh2

Crystalline TmPRh2 at its relaxed geometry (PBE, the Alexandria database).

Cell: 4.0948 5.5945 5.9467 Å, 90.00 90.00 90.00°
Element x y z (fractional)
P (0.5000, 0.0000, 0.8352)
Rh (0.0000, 0.7622, 0.8438)
Rh (0.0000, 0.2378, 0.8438)
Rh (0.5000, 0.2622, 0.1562)
Tm (0.0000, 0.0000, 0.3918)
Rh (0.5000, 0.7378, 0.1562)
P (0.0000, 0.5000, 0.1648)
Tm (0.5000, 0.5000, 0.6082)

Results
For the formation energy, the calculation gives -0.92 eV/atom. Its space group is Pmmn. For the calculated density, the calculation gives 9.89 Mg/m³.

[16]
# SbPdCI2

Crystalline SbPdCI2 at its relaxed geometry (PBE, the Alexandria database).

Cell: 5.5648 5.5648 5.1326 Å, 90.00 90.00 90.00°
Element x y z (fractional)
Pd (0.0000, 0.0000, 0.0000)
Sb (0.0000, 0.0000, 0.5000)
C (0.5000, 0.5000, 0.5000)
I (0.0000, 0.5000, 0.0000)
I (0.5000, 0.0000, 0.0000)

Results
Its space group is P4/mmm. As for the formation energy without anion corrections: 1.559 eV/atom. The calculation puts the offset from the most stable computed form at 0.309 eV per atom. For the calculated density, the calculation gives 5.16 Mg/m³.

[17]
# ZnMo

Crystalline ZnMo at its relaxed geometry (PBE, the Alexandria database).

Cell: 2.7808 2.7808 9.2079 Å, 90.00 90.00 120.00°
Element x y z (fractional)
Zn (0.0000, 0.0000, 0.5048)
Mo (0.0000, 0.0000, 0.9957)
Zn (0.3333, 0.6667, 0.7452)
Mo (0.3333, 0.6667, 0.2543)

Results
For the formation energy, the calculation gives 0.19 eV/atom. Its space group is P-3m1. The calculation puts the offset from the most stable computed form at 0.127 eV per atom. For the calculated density, the calculation gives 8.69 Mg/m³.